## TlP2Br6 (PBE-GGA)

Data for TlP2Br6 after structural relaxation.

Cell lengths 7.9472, 7.9472, 8.0736 Å; angles 60.52, 60.52, 60.00 degrees
Sites, in units of the cell vectors:
Br 0.8343 0.4305 0.7660
Br 0.9323 0.3334 0.2331
Br 0.4305 0.9692 0.7660
Br 0.9692 0.8343 0.7660
Br 0.5013 0.9323 0.2331
Br 0.3334 0.5013 0.2331
Tl 0.3697 0.3697 0.8909
P 0.7080 0.7080 0.8761
P 0.5870 0.5870 0.2389

As for the formation energy without anion corrections: -269 meV/atom. The value obtained for the spin magnetization is 0.106 μB per atom. The value obtained for the density of states at the Fermi level is 2.93 states/eV per cell.

## Ac6HgIr3Se2 (PBE-GGA)

Data for Ac6HgIr3Se2 after structural relaxation.

Cell lengths 4.3722, 9.1872, 10.1384 Å; angles 105.69, 102.45, 90.00 degrees
Sites, in units of the cell vectors:
Ac 0.6787 0.0758 0.3574
Ac 0.3391 0.3953 0.6781
Ac 0.9964 0.2794 0.9929
Ac 0.0036 0.7206 0.0071
Ac 0.3213 0.9242 0.6426
Ac 0.6609 0.6047 0.3219
Hg 0.5000 0.0000 0.0000
Ir 0.8341 0.1626 0.6682
Ir 0.5000 0.5000 0.0000
Ir 0.1659 0.8374 0.3318
Se 0.1686 0.3399 0.3372
Se 0.8314 0.6601 0.6628

As for the formation energy without anion corrections: -1034 meV/atom. The value obtained for the spin magnetization is 0.000 μB per atom. The value obtained for the density of states at the Fermi level is 6.49 states/eV per cell.

## Ac2LuHg (PBE-GGA)

Data for Ac2LuHg after structural relaxation.

Cell lengths 3.7207, 3.7207, 12.5905 Å; angles 81.50, 81.50, 60.00 degrees
Sites, in units of the cell vectors:
Lu 0.0000 0.0000 0.0000
Ac 0.0947 0.0947 0.7160
Ac 0.9053 0.9053 0.2840
Hg 0.5000 0.5000 0.5000

For the energy relative to the lowest polymorph listed for this composition, the calculation gives 323 meV/atom. The value obtained for the spin magnetization is 0.000 μB per atom. The value obtained for the formation enthalpy at 0 K is 0.150 eV/atom. The value obtained for the density of states at the Fermi level is 5.69 states/eV per cell.

## DyHoPdPt (PBE-GGA)

Data for DyHoPdPt after structural relaxation.

Cell lengths 3.7614, 4.4829, 5.5883 Å; angles 90.00, 109.67, 90.00 degrees
Sites, in units of the cell vectors:
Pt 0.4126 0.0000 0.8253
Pd 0.5872 0.5000 0.1744
Dy 0.1379 0.0000 0.2757
Ho 0.8623 0.5000 0.7246

For the energy relative to the lowest polymorph listed for this composition, the calculation gives 0 meV/atom. The value obtained for the spin magnetization is 0.000 μB per atom. The value obtained for the formation enthalpy at 0 K is -1.117 eV/atom. The value obtained for the density of states at the Fermi level is 3.07 states/eV per cell.

Please write out number 2 again, unchanged.
## Ac6HgIr3Se2 (PBE-GGA)

Data for Ac6HgIr3Se2 after structural relaxation.

Cell lengths 4.3722, 9.1872, 10.1384 Å; angles 105.69, 102.45, 90.00 degrees
Sites, in units of the cell vectors:
Ac 0.6787 0.0758 0.3574
Ac 0.3391 0.3953 0.6781
Ac 0.9964 0.2794 0.9929
Ac 0.0036 0.7206 0.0071
Ac 0.3213 0.9242 0.6426
Ac 0.6609 0.6047 0.3219
Hg 0.5000 0.0000 0.0000
Ir 0.8341 0.1626 0.6682
Ir 0.5000 0.5000 0.0000
Ir 0.1659 0.8374 0.3318
Se 0.1686 0.3399 0.3372
Se 0.8314 0.6601 0.6628

As for the formation energy without anion corrections: -1034 meV/atom. The value obtained for the spin magnetization is 0.000 μB per atom. The value obtained for the density of states at the Fermi level is 6.49 states/eV per cell.

What did the fourth record say?
## DyHoPdPt (PBE-GGA)

Data for DyHoPdPt after structural relaxation.

Cell lengths 3.7614, 4.4829, 5.5883 Å; angles 90.00, 109.67, 90.00 degrees
Sites, in units of the cell vectors:
Pt 0.4126 0.0000 0.8253
Pd 0.5872 0.5000 0.1744
Dy 0.1379 0.0000 0.2757
Ho 0.8623 0.5000 0.7246

For the energy relative to the lowest polymorph listed for this composition, the calculation gives 0 meV/atom. The value obtained for the spin magnetization is 0.000 μB per atom. The value obtained for the formation enthalpy at 0 K is -1.117 eV/atom. The value obtained for the density of states at the Fermi level is 3.07 states/eV per cell.

Question: The highest spin magnetization belongs to which entry?
Answer: TlP2Br6